1.
An optimized crystal structure of PIrPb2, computed with GGA-PBE.

For the energy of formation, the calculation gives 0.05 eV per atom. As for the space-group type: No. 99. As for the crystal system: tetragonal.

a = 3.292 Å, b = 3.292 Å, c = 8.316 Å
α = 90.00°, β = 90.00°, γ = 90.00°
Positions (direct):
P 0.000 0.000 0.000
Ir 0.500 0.500 0.903
Pb 0.000 0.000 0.636
Pb 0.500 0.500 0.266

=====

2.
An optimized crystal structure of TaTcRh2, computed with GGA-PBE.

For the energy of formation, the calculation gives -0.11 eV per atom. As for the space-group type: No. 166. The energy above the most stable polymorph in this dataset comes out at 1.166 eV per formula unit. As for the crystal system: trigonal.

a = 9.162 Å, b = 9.162 Å, c = 9.162 Å
α = 17.51°, β = 17.51°, γ = 17.51°
Positions (direct):
Ta 0.000 0.000 0.000
Tc 0.500 0.500 0.500
Rh 0.248 0.248 0.248
Rh 0.752 0.752 0.752

=====

3.
An optimized crystal structure of Y3IrS2, computed with GGA-PBE.

The value obtained for the uncorrected formation energy is -9.17 eV per formula unit. As for the space-group type: No. 139. As for the crystal system: tetragonal.

a = 8.975 Å, b = 8.975 Å, c = 8.975 Å
α = 154.31°, β = 154.31°, γ = 36.64°
Positions (direct):
Y 0.000 0.000 0.000
Y 0.340 0.340 0.000
Y 0.660 0.660 0.000
Ir 0.500 0.500 0.000
S 0.174 0.174 0.000
S 0.826 0.826 0.000